(1)
Computed, not measured: a geometry-optimized TbEuAlGa structure at the PBE-GGA level of DFT.

```
data_TbEuAlGa
_cell_length_a 5.204
_cell_length_b 5.204
_cell_length_c 5.204
_cell_angle_alpha 60.00
_cell_angle_beta 60.00
_cell_angle_gamma 60.00
_space_group_name_H-M_alt 'P 1'
_space_group_IT_number 1
_space_group_name_Hall 'P 1'
loop_
_atom_site_label
_atom_site_type_symbol
_atom_site_fract_x
_atom_site_fract_y
_atom_site_fract_z
_atom_site_occupancy
Ga1 Ga 0.250 0.250 0.250 1
Tb1 Tb 0.500 0.500 0.500 1
Eu1 Eu 0.000 0.000 0.000 1
Al1 Al 0.750 0.750 0.750 1
```

Summary:
total energy: -23.2 eV per cell
formation energy: -378.1 meV/atom
calculated volume: 99.7 Å³/cell

=====

(2)
Computed, not measured: a geometry-optimized VCuNi4 structure at the PBE-GGA level of DFT.

```
data_VCuNi4
_cell_length_a 4.345
_cell_length_b 6.398
_cell_length_c 6.306
_cell_angle_alpha 120.48
_cell_angle_beta 103.21
_cell_angle_gamma 90.00
_space_group_name_H-M_alt 'P 1'
_space_group_IT_number 1
_space_group_name_Hall 'P 1'
loop_
_atom_site_label
_atom_site_type_symbol
_atom_site_fract_x
_atom_site_fract_y
_atom_site_fract_z
_atom_site_occupancy
Cu1 Cu 0.885 0.801 0.603 1
Cu2 Cu 0.115 0.199 0.397 1
Ni1 Ni 0.435 0.065 0.752 1
Ni2 Ni 0.298 0.674 0.349 1
Ni3 Ni 0.565 0.935 0.248 1
Ni4 Ni 0.000 0.200 0.000 1
Ni5 Ni 0.000 0.800 0.000 1
Ni6 Ni 0.435 0.687 0.752 1
Ni7 Ni 0.702 0.326 0.651 1
Ni8 Ni 0.565 0.313 0.248 1
V1 V 0.763 0.566 0.133 1
V2 V 0.237 0.434 0.867 1
```

Summary:
polymorph energy (0 for the lowest one): 183.7 meV/atom
total energy: -70.7 eV per cell
formation energy: 168.8 meV/atom
calculated volume: 145.7 Å³/cell

=====

(3)
Computed, not measured: a geometry-optimized CrRu2Br structure at the PBE-GGA level of DFT.

```
data_CrRu2Br
_cell_length_a 4.470
_cell_length_b 4.470
_cell_length_c 3.005
_cell_angle_alpha 90.00
_cell_angle_beta 90.00
_cell_angle_gamma 93.55
_space_group_name_H-M_alt 'P 1'
_space_group_IT_number 1
_space_group_name_Hall 'P 1'
loop_
_atom_site_label
_atom_site_type_symbol
_atom_site_fract_x
_atom_site_fract_y
_atom_site_fract_z
_atom_site_occupancy
Cr1 Cr 0.000 0.500 0.500 1
Ru1 Ru 0.000 0.000 0.000 1
Ru2 Ru 0.500 0.500 0.000 1
Br1 Br 0.500 0.000 0.500 1
```

Summary:
raw formation energy: 0.806 eV/atom
polymorph energy (0 for the lowest one): 291.0 meV/atom
total energy: -26.6 eV per cell
calculated volume: 59.9 Å³/cell

=====

(4)
Computed, not measured: a geometry-optimized Cd2Co2Ir structure at the PBE-GGA level of DFT.

```
data_Cd2Co2Ir
_cell_length_a 6.164
_cell_length_b 6.164
_cell_length_c 4.215
_cell_angle_alpha 90.00
_cell_angle_beta 90.00
_cell_angle_gamma 90.00
_space_group_name_H-M_alt 'P 1'
_space_group_IT_number 1
_space_group_name_Hall 'P 1'
loop_
_atom_site_label
_atom_site_type_symbol
_atom_site_fract_x
_atom_site_fract_y
_atom_site_fract_z
_atom_site_occupancy
Cd1 Cd 0.180 0.680 0.500 1
Cd2 Cd 0.680 0.820 0.500 1
Cd3 Cd 0.320 0.180 0.500 1
Cd4 Cd 0.820 0.320 0.500 1
Ir1 Ir 0.000 0.000 0.000 1
Ir2 Ir 0.500 0.500 0.000 1
Co1 Co 0.625 0.125 0.000 1
Co2 Co 0.125 0.375 0.000 1
Co3 Co 0.375 0.875 0.000 1
Co4 Co 0.875 0.625 0.000 1
```

Summary:
total energy: -46.8 eV per cell
formation energy: 302.7 meV/atom
calculated volume: 160.1 Å³/cell

=====

(5)
Computed, not measured: a geometry-optimized TbSm5Bi3 structure at the PBE-GGA level of DFT.

```
data_TbSm5Bi3
_cell_length_a 7.948
_cell_length_b 7.948
_cell_length_c 10.768
_cell_angle_alpha 111.66
_cell_angle_beta 111.66
_cell_angle_gamma 90.00
_space_group_name_H-M_alt 'P 1'
_space_group_IT_number 1
_space_group_name_Hall 'P 1'
loop_
_atom_site_label
_atom_site_type_symbol
_atom_site_fract_x
_atom_site_fract_y
_atom_site_fract_z
_atom_site_occupancy
Bi1 Bi 0.865 0.635 0.000 1
Bi2 Bi 0.635 0.135 0.000 1
Bi3 Bi 0.750 0.750 0.500 1
Bi4 Bi 0.365 0.865 0.000 1
Bi5 Bi 0.135 0.365 0.000 1
Bi6 Bi 0.250 0.250 0.500 1
Sm1 Sm 0.060 0.560 0.736 1
Sm2 Sm 0.440 0.324 0.264 1
Sm3 Sm 0.000 0.000 0.000 1
Sm4 Sm 0.560 0.676 0.736 1
Sm5 Sm 0.824 0.940 0.264 1
Sm6 Sm 0.500 0.500 0.000 1
Sm7 Sm 0.676 0.176 0.736 1
Sm8 Sm 0.324 0.824 0.264 1
Sm9 Sm 0.940 0.440 0.264 1
Sm10 Sm 0.176 0.060 0.736 1
Tb1 Tb 0.750 0.250 0.500 1
Tb2 Tb 0.250 0.750 0.500 1
```

Summary:
total energy: -84.0 eV per cell
formation energy: -234.3 meV/atom
calculated volume: 580.2 Å³/cell

=====

(6)
Computed, not measured: a geometry-optimized Cs2TlHgPt structure at the PBE-GGA level of DFT.

```
data_Cs2TlHgPt
_cell_length_a 6.728
_cell_length_b 6.728
_cell_length_c 5.261
_cell_angle_alpha 90.00
_cell_angle_beta 90.00
_cell_angle_gamma 90.00
_space_group_name_H-M_alt 'P 1'
_space_group_IT_number 1
_space_group_name_Hall 'P 1'
loop_
_atom_site_label
_atom_site_type_symbol
_atom_site_fract_x
_atom_site_fract_y
_atom_site_fract_z
_atom_site_occupancy
Hg1 Hg 0.000 0.000 0.500 1
Cs1 Cs 0.000 0.500 0.000 1
Cs2 Cs 0.500 0.000 0.000 1
Tl1 Tl 0.500 0.500 0.500 1
Pt1 Pt 0.000 0.000 0.000 1
```

Summary:
polymorph energy (0 for the lowest one): 177.4 meV/atom
total energy: -10.1 eV per cell
formation energy: 58.1 meV/atom
calculated volume: 238.2 Å³/cell

=====

Question: The lowest total energy belongs to which entry?
Answer: TbSm5Bi3